# PBE Ga2CoGe, optimized geometry
data_Ga2CoGe
_chemical_formula_sum 'Ga8 Co4 Ge4'
_cell_length_a 8.937
_cell_length_b 8.937
_cell_length_c 4.454
_cell_angle_alpha 90.00
_cell_angle_beta 90.00
_cell_angle_gamma 90.00
_symmetry_space_group_name_H-M 'I -4 2 d'
_symmetry_Int_Tables_number 122
_symmetry_space_group_name_Hall 'I -4 2bw'
loop_
_atom_site_label
_atom_site_fract_x
_atom_site_fract_y
_atom_site_fract_z
Ga1 0.001 0.750 0.125
Co1 0.000 0.000 0.000
Ge1 0.000 0.000 0.500
# formation energy	22	meV per atom
# total DFT energy (no corrections)	-4.42	eV/atom
# N(E_F)	2.98	states/eV/f.u.